Entry 1:
La3TbO: optimized geometry, GGA-PBE.

Cell lengths 5.1798, 5.1798, 5.1798 Å; angles 90.00, 90.00, 90.00 degrees
Space group Pm-3m (No. 221)
One atom of each set of equivalent atoms:
La 0.0000 0.0000 0.5000 x3
Tb 0.5000 0.5000 0.5000 x1
O 0.0000 0.0000 0.0000 x1

Entry 2:
La3Tb5O12: optimized geometry, GGA-PBE.

Cell lengths 13.8466, 13.8466, 13.8466 Å; angles 90.00, 90.00, 90.00 degrees
Space group Ia-3d (No. 230)
One atom of each set of equivalent atoms:
La 0.0000 0.2500 0.1250 x24
Tb 0.0000 0.0000 0.0000 x16
Tb 0.0000 0.2500 0.3750 x24
O 0.0226 0.0622 0.6523 x96

Entry 3:
LaTbO: optimized geometry, GGA-PBE.

Computed properties:
Polymorph energy (0 for the lowest one) = 0.37 eV per formula unit

Cell lengths 3.6386, 3.6386, 6.1352 Å; angles 90.00, 90.00, 120.00 degrees
Space group P3m1 (No. 156)
One atom of each set of equivalent atoms:
La 0.0000 0.0000 0.0000 x1
Tb 0.3333 0.6667 0.4525 x1
O 0.6667 0.3333 0.2633 x1

Entry 4:
LaTbO: optimized geometry, GGA-PBE.

Computed properties:
Polymorph energy (0 for the lowest one) = 0.00 eV per formula unit

Cell lengths 4.7223, 5.2319, 10.9203 Å; angles 90.00, 90.00, 90.00 degrees
Space group Imma (No. 74)
One atom of each set of equivalent atoms:
La 0.0000 0.2500 0.1078 x4
Tb 0.0000 0.2500 0.6383 x4
O 0.0000 0.2500 0.8623 x4

Entry 5:
LaTb2O: optimized geometry, GGA-PBE.

Computed properties:
Polymorph energy (0 for the lowest one) = 0.00 eV per formula unit

Cell lengths 3.5022, 3.5022, 28.6724 Å; angles 90.00, 90.00, 120.00 degrees
Space group R-3m (No. 166, hexagonal axes)
One atom of each set of equivalent atoms:
La 0.0000 0.0000 0.0000 x3
Tb 0.0000 0.0000 0.1203 x6
O 0.0000 0.0000 0.5000 x3

Entry 6:
La2Tb2O7: optimized geometry, GGA-PBE.

Cell lengths 11.1998, 11.1998, 11.1998 Å; angles 90.00, 90.00, 90.00 degrees
Space group Fd-3m (No. 227, origin choice 2)
One atom of each set of equivalent atoms:
La 0.0000 0.0000 0.0000 x16
Tb 0.0000 0.0000 0.5000 x16
O 0.0978 0.3750 0.8750 x48
O 0.1250 0.1250 0.1250 x8

Entry 7:
LaTb3O: optimized geometry, GGA-PBE.

Cell lengths 5.0087, 5.0087, 5.0087 Å; angles 90.00, 90.00, 90.00 degrees
Space group Pm-3m (No. 221)
One atom of each set of equivalent atoms:
La 0.0000 0.0000 0.0000 x1
Tb 0.0000 0.5000 0.5000 x3
O 0.5000 0.5000 0.5000 x1

Entry 8:
La2TbO: optimized geometry, GGA-PBE.

Cell lengths 3.6646, 3.6646, 28.5961 Å; angles 90.00, 90.00, 120.00 degrees
Space group R-3m (No. 166, hexagonal axes)
One atom of each set of equivalent atoms:
La 0.0000 0.0000 0.1174 x6
Tb 0.0000 0.0000 0.0000 x3
O 0.0000 0.0000 0.5000 x3

no.,volume (Å³ per cell),DOS(E_F) (states/eV/atom),E_form (uncorrected) (eV per atom)
1,139.0,0.885,-1.14
2,2654.8,0.000,-3.38
3,70.3,0.541,-1.74
4,269.8,0.763,-1.87
5,304.6,1.269,-1.23
6,1404.8,0.505,-3.04
7,125.7,1.551,-1.05
8,332.6,1.292,-1.16